Li13Co15O28 | PBE+U | relaxed

Computed properties:
total energy = -5.6520 eV/atom
crystal system = triclinic
spin magnetization = 2.07 μB/f.u.

CIF file:
```
data_Li13Co15O28
_cell_length_a 7.699
_cell_length_b 8.317
_cell_length_c 8.644
_cell_angle_alpha 104.23
_cell_angle_beta 104.93
_cell_angle_gamma 105.09
_symmetry_space_group_name_H-M 'P -1'
_symmetry_Int_Tables_number 2
loop_
_symmetry_equiv_pos_as_xyz
'x,y,z'
'-x,-y,-z'
loop_
_atom_site_label
_atom_site_fract_x
_atom_site_fract_y
_atom_site_fract_z
Li1 0.000 0.000 0.000
Li2 0.069 0.714 0.789
Li3 0.144 0.431 0.574
Li4 0.212 0.145 0.357
Li5 0.281 0.857 0.137
Li6 0.359 0.574 0.929
Li7 0.428 0.293 0.720
Co1 0.000 0.500 0.000
Co2 0.075 0.217 0.788
Co3 0.140 0.928 0.574
Co4 0.211 0.638 0.355
Co5 0.288 0.354 0.141
Co6 0.361 0.072 0.930
Co7 0.429 0.785 0.717
Co8 0.500 0.000 0.500
Co9 0.500 0.500 0.500
O1 0.015 0.268 0.002
O2 0.053 0.461 0.789
O3 0.091 0.970 0.786
O4 0.137 0.174 0.574
O5 0.161 0.685 0.568
O6 0.213 0.896 0.367
O7 0.235 0.395 0.354
O8 0.269 0.587 0.146
O9 0.303 0.123 0.138
O10 0.354 0.307 0.937
O11 0.374 0.838 0.926
O12 0.427 0.021 0.723
O13 0.442 0.556 0.720
O14 0.482 0.746 0.502
```